## CeThIn2 (GGA-PBE)

Data for an optimized crystal structure of CeThIn2.

Properties
* spin magnetization: 0.15 μB per atom
* Fermi-level density of states: 18.6 states/eV per cell
* ΔE_f: -176.3 meV/atom

abc: 3.3818 3.3818 33.9096
angles: 90.00 90.00 120.00
Space group R-3m (No. 166, hexagonal axes)
Symmetry-distinct sites (fractional):
Ce: 0.0000 0.0000 0.0000 x3
Th: 0.0000 0.0000 0.5000 x3
In: 0.0000 0.0000 0.2509 x6